No. 1
# InTcAs2 | Alexandria | PBEsol | optimized geometry
data_InTcAs2
_symmetry_space_group_name_H-M 'P 1'
_symmetry_Int_Tables_number 1
_cell_length_a 2.963
_cell_length_b 2.963
_cell_length_c 9.714
_cell_angle_alpha 90.00
_cell_angle_beta 90.00
_cell_angle_gamma 117.34
loop_
_symmetry_equiv_pos_as_xyz
'x,y,z'
loop_
_atom_site_label
_atom_site_type_symbol
_atom_site_fract_x
_atom_site_fract_y
_atom_site_fract_z
In1 In 0.000 0.000 0.000
Tc1 Tc 0.000 0.000 0.500
As1 As 0.500 0.500 0.298
As2 As 0.500 0.500 0.702
# ΔH_f (0 K) ... 188 meV/atom
# DOS(E_F) ... 3.08 states/eV/cell
# Volume ... 18.94 A^3/atom

***

No. 2
# KBaNa2 | Alexandria | PBEsol | optimized geometry
data_KBaNa2
_symmetry_space_group_name_H-M 'P 1'
_symmetry_Int_Tables_number 1
_cell_length_a 8.224
_cell_length_b 8.224
_cell_length_c 8.224
_cell_angle_alpha 104.05
_cell_angle_beta 104.05
_cell_angle_gamma 120.95
loop_
_symmetry_equiv_pos_as_xyz
'x,y,z'
loop_
_atom_site_label
_atom_site_type_symbol
_atom_site_fract_x
_atom_site_fract_y
_atom_site_fract_z
K1 K 0.000 0.000 0.000
K2 K 0.750 0.250 0.500
Ba1 Ba 0.250 0.750 0.500
Ba2 Ba 0.500 0.500 0.000
Na1 Na 0.106 0.625 0.981
Na2 Na 0.375 0.356 0.481
Na3 Na 0.644 0.125 0.019
Na4 Na 0.875 0.894 0.519
# ΔH_f (0 K) ... 158 meV/atom
# DOS(E_F) ... 6.15 states/eV/cell
# Energy relative to the lowest polymorph listed for this composition ... 0.105 eV/atom
# Volume ... 51.88 A^3/atom

***

No. 3
# KNiNF2 | Alexandria | PBEsol | optimized geometry
data_KNiNF2
_symmetry_space_group_name_H-M 'P 1'
_symmetry_Int_Tables_number 1
_cell_length_a 4.240
_cell_length_b 4.240
_cell_length_c 3.424
_cell_angle_alpha 90.00
_cell_angle_beta 90.00
_cell_angle_gamma 90.00
loop_
_symmetry_equiv_pos_as_xyz
'x,y,z'
loop_
_atom_site_label
_atom_site_type_symbol
_atom_site_fract_x
_atom_site_fract_y
_atom_site_fract_z
K1 K 0.000 0.000 0.000
Ni1 Ni 0.500 0.500 0.500
N1 N 0.500 0.500 0.000
F1 F 0.000 0.500 0.500
F2 F 0.500 0.000 0.500
# DOS(E_F) ... 2.30 states/eV/cell
# Energy relative to the lowest polymorph listed for this composition ... 0.000 eV/atom
# Volume ... 12.31 A^3/atom
# Energy relative to the elements, uncorrected ... -1060 meV per atom